First-principles (PBE) data for a geometry-optimized PrSi2Pt structure, as listed in OQMD via LeMat-Bulk.

The space group is Pmn2_1 (No. 31) and the conventional cell measures 4.201, 6.126 and 5.989 Å, with angles of 90.00, 90.00 and 90.00 degrees. The asymmetric unit holds Pr at (0.000, 0.103, 0.000), Si at (0.000, 0.276, 0.495), Si at (0.000, 0.628, 0.240) and Pt at (0.000, 0.594, 0.806).

The value obtained for the calculated density is 8.4 g cm⁻³. Its final energy is -6.1800 eV/atom. The magnetic moment comes out at 0.0 Bohr magnetons per cell.